Compound: Dy2PaP
Source: Alexandria via LeMat-Bulk
Functional: PBE-GGA
Structure: relaxed

The structure belongs to space group R-3m (No. 166, hexagonal axes); the cell edges are 3.5470, 3.5470 and 30.3655 Å and the angles 90.00°, 90.00° and 120.00°. The distinct sites, in fractional coordinates, are Dy at (0.0000, 0.0000, 0.1103), Pa at (0.0000, 0.0000, 0.0000) and P at (0.0000, 0.0000, 0.5000).

The value obtained for the density of states at the Fermi level is 1.486 states/eV/atom. For the size of the total moment, the calculation gives 0.006 μB per formula unit. The energy of formation comes out at -0.2419 eV/atom.